# CaBe4Ru | Alexandria | PBE-GGA | relaxed
data_CaBe4Ru
_chemical_formula_sum 'Ca4 Be16 Ru4'
_cell_length_a 6.591
_cell_length_b 6.591
_cell_length_c 6.591
_cell_angle_alpha 90.00
_cell_angle_beta 90.00
_cell_angle_gamma 90.00
_symmetry_space_group_name_H-M 'F -4 3 m'
_symmetry_Int_Tables_number 216
_symmetry_space_group_name_Hall 'F -4 2 3'
loop_
_atom_site_label
_atom_site_fract_x
_atom_site_fract_y
_atom_site_fract_z
_atom_site_occupancy
Ca1 0.000 0.000 0.000 1
Be1 0.121 0.121 0.379 1
Ru1 0.250 0.250 0.750 1
# Formation energy, eV/atom: 0.108
# Calculated total energy, eV/atom: -4.256
# N(E_F), states/eV/cell: 27.7